NdDy2Zn3Ir2Pt | PBE | optimized geometry

Properties
Calculated total energy: -48.36 eV/cell
Total moment: 0.0 μB per formula unit
Energy relative to the elements: -0.7598 eV per atom

Unit cell a=3.9336 b=7.2345 c=7.2345 alpha=120.24 beta=90.00 gamma=90.00
Element x y z (fractional)
Nd  0.0000  0.0000  0.0000
Dy  0.0000  0.1801  0.5881
Dy  0.0000  0.5881  0.1801
Zn  0.5000  0.3387  0.3387
Zn  0.5000  0.5850  0.8378
Zn  0.5000  0.8378  0.5850
Ir  0.5000  0.2611  0.9184
Ir  0.5000  0.9184  0.2611
Pt  0.0000  0.5819  0.5819



NiHgSb2 | PBE | optimized geometry

Properties
Calculated total energy: -12.34 eV/cell
Total moment: 0.1 μB per formula unit

Unit cell a=5.0204 b=5.0204 c=5.0204 alpha=60.00 beta=60.00 gamma=60.00
Element x y z (fractional)
Ni  0.0000  0.0000  0.0000
Hg  0.2500  0.2500  0.2500
Sb  0.5000  0.5000  0.5000
Sb  0.7500  0.7500  0.7500



ZrTlCu3S4 | PBE | optimized geometry

Properties
Calculated total energy: -88.57 eV/cell
Total moment: 0.0 μB per formula unit
Excess energy over the best structure of this formula in the dataset: 0 meV per atom

Unit cell a=5.7170 b=7.2081 c=9.5661 alpha=90.00 beta=104.21 gamma=90.00
Element x y z (fractional)
Zr  0.1185  0.2500  0.3013
Zr  0.8815  0.7500  0.6987
Tl  0.2309  0.2500  0.8981
Tl  0.7691  0.7500  0.1019
Cu  0.2878  0.5547  0.5211
Cu  0.2878  0.9453  0.5211
Cu  0.4226  0.7500  0.7599
Cu  0.5774  0.2500  0.2401
Cu  0.7122  0.0547  0.4789
Cu  0.7122  0.4453  0.4789
S  0.0486  0.2500  0.5466
S  0.1993  0.7500  0.9206
S  0.3816  0.5146  0.2880
S  0.3816  0.9854  0.2880
S  0.6184  0.0146  0.7120
S  0.6184  0.4854  0.7120
S  0.8007  0.2500  0.0794
S  0.9514  0.7500  0.4534



KPH12PtC2N2Cl2O4 | PBE | optimized geometry

Properties
Calculated total energy: -261.51 eV/cell
Total moment: 0.0 μB per formula unit

Unit cell a=7.8751 b=8.6162 c=8.8000 alpha=83.90 beta=68.20 gamma=85.70
Element x y z (fractional)
K  0.0737  0.2850  0.4301
K  0.9263  0.7150  0.5699
P  0.3165  0.7182  0.7360
P  0.6835  0.2818  0.2640
H  0.0824  0.6891  0.0080
H  0.1047  0.9435  0.7747
H  0.2411  0.4152  0.6715
H  0.2544  0.5358  0.9726
H  0.2799  0.6050  0.4375
H  0.2923  0.6968  0.1594
H  0.2941  0.9624  0.5848
H  0.3110  0.1391  0.7656
H  0.3554  0.3038  0.5359
H  0.3631  0.4755  0.3163
H  0.4653  0.7289  0.9830
H  0.4842  0.0074  0.7399
H  0.5158  0.9926  0.2601
H  0.5347  0.2711  0.0170
H  0.6369  0.5245  0.6837
H  0.6446  0.6962  0.4641
H  0.6890  0.8609  0.2344
H  0.7059  0.0376  0.4152
H  0.7077  0.3032  0.8406
H  0.7201  0.3950  0.5625
H  0.7456  0.4642  0.0274
H  0.7589  0.5848  0.3285
H  0.8953  0.0565  0.2253
H  0.9176  0.3109  0.9920
Pt  0.2777  0.9857  0.0434
Pt  0.7223  0.0143  0.9566
C  0.2306  0.6635  0.9561
C  0.2541  0.9254  0.7170
C  0.7459  0.0746  0.2830
C  0.7694  0.3365  0.0439
N  0.3249  0.7466  0.0389
N  0.3435  0.0218  0.7930
N  0.6565  0.9782  0.2070
N  0.6751  0.2534  0.9611
Cl  0.2059  0.9515  0.3267
Cl  0.2278  0.2557  0.0514
Cl  0.7722  0.7443  0.9486
Cl  0.7941  0.0485  0.6733
O  0.2204  0.6275  0.6542
O  0.2555  0.3046  0.6459
O  0.2697  0.5636  0.3405
O  0.4746  0.2980  0.3259
O  0.5254  0.7020  0.6741
O  0.7303  0.4364  0.6595
O  0.7445  0.6954  0.3541
O  0.7796  0.3725  0.3458